No. 1
Computed, not measured: crystalline BaSr2Hg at its relaxed geometry at the GGA-PBE level of DFT.

The total energy comes out at -1.672 eV per atom.

The structure belongs to space group P4mm (No. 99); the cell edges are 4.162, 4.162 and 10.530 Å and the angles 90.00°, 90.00° and 90.00°. The inequivalent atoms are Ba at (0.000, 0.000, 0.000), Sr at (0.000, 0.000, 0.373), Sr at (0.500, 0.500, 0.675) and Hg at (0.500, 0.500, 0.200).

No. 2
Computed, not measured: crystalline Ba2SrHg10 at its relaxed geometry at the GGA-PBE level of DFT.

The total energy comes out at -0.899 eV per atom.

The structure belongs to space group Pbam (No. 55); the cell edges are 7.599, 19.683 and 6.230 Å and the angles 90.00°, 90.00° and 90.00°. The inequivalent atoms are Ba at (0.057, 0.169, 0.000), Sr at (0.000, 0.500, 0.500), Hg at (0.092, 0.348, 0.232), Hg at (0.109, 0.937, 0.500), Hg at (0.117, 0.773, 0.500) and Hg at (0.244, 0.131, 0.500).

No. 3
Computed, not measured: crystalline Ba3SrHg at its relaxed geometry at the GGA-PBE level of DFT.

The total energy comes out at -0.960 eV per atom.

The structure belongs to space group Pm-3m (No. 221); the cell edges are 6.964, 6.964 and 6.964 Å and the angles 90.00°, 90.00° and 90.00°. The inequivalent atoms are Ba at (0.000, 0.000, 0.500), Sr at (0.000, 0.000, 0.000) and Hg at (0.500, 0.500, 0.500).

No. 4
Computed, not measured: crystalline BaSr8Hg6 at its relaxed geometry at the GGA-PBE level of DFT.

The total energy comes out at -1.542 eV per atom.

The structure belongs to space group R-3 (No. 148, hexagonal axes); the cell edges are 9.9143, 9.9143 and 20.4472 Å and the angles 90.00°, 90.00° and 120.00°. The inequivalent atoms are Ba at (0.0000, 0.0000, 0.0000), Sr at (0.0000, 0.0000, 0.3333), Sr at (0.0001, 0.3330, 0.5567) and Hg at (0.9999, 0.3383, 0.0566).

No. 5
Computed, not measured: crystalline Ba2Sr8Hg at its relaxed geometry at the GGA-PBE level of DFT.

The total energy comes out at -1.653 eV per atom.

The structure belongs to space group C2/m (No. 12); the cell edges are 21.618, 6.571 and 8.087 Å and the angles 90.00°, 93.31° and 90.00°. The inequivalent atoms are Ba at (0.218, 0.000, 0.149), Sr at (0.026, 0.000, 0.263), Sr at (0.083, 0.500, 0.880), Sr at (0.140, 0.500, 0.380), Sr at (0.167, 0.000, 0.653) and Hg at (0.000, 0.500, 0.500).

No. 6
Computed, not measured: crystalline BaSr3Hg2 at its relaxed geometry at the GGA-PBE level of DFT.

The total energy comes out at -1.552 eV per atom.

The structure belongs to space group P6/mmm (No. 191); the cell edges are 8.3602, 8.3602 and 4.5638 Å and the angles 90.00°, 90.00° and 120.00°. The inequivalent atoms are Ba at (0.0000, 0.0000, 0.0000), Sr at (0.0000, 0.5000, 0.5000) and Hg at (0.3333, 0.6667, 0.0000).

No. 7
Computed, not measured: crystalline Ba5Sr2Hg at its relaxed geometry at the GGA-PBE level of DFT.

The total energy comes out at -1.768 eV per atom.

The structure belongs to space group Pbam (No. 55); the cell edges are 10.492, 19.290 and 4.296 Å and the angles 90.00°, 90.00° and 90.00°. The inequivalent atoms are Ba at (0.000, 0.000, 0.000), Ba at (0.006, 0.224, 0.000), Ba at (0.193, 0.394, 0.500), Sr at (0.186, 0.604, 0.500) and Hg at (0.000, 0.500, 0.000).

No. 8
Computed, not measured: crystalline BaSr2Hg at its relaxed geometry at the GGA-PBE level of DFT.

The total energy comes out at -1.650 eV per atom.

The structure belongs to space group Immm (No. 71); the cell edges are 4.240, 6.367 and 13.448 Å and the angles 90.00°, 90.00° and 90.00°. The inequivalent atoms are Ba at (0.000, 0.000, 0.000), Sr at (0.000, 0.500, 0.193) and Hg at (0.000, 0.000, 0.500).

No. 9
Computed, not measured: crystalline BaSrHg at its relaxed geometry at the GGA-PBE level of DFT.

The total energy comes out at -1.675 eV per atom.

The structure belongs to space group I4mm (No. 107); the cell edges are 4.151, 4.151 and 14.755 Å and the angles 90.00°, 90.00° and 90.00°. The inequivalent atoms are Ba at (0.000, 0.000, 0.000), Sr at (0.000, 0.000, 0.266) and Hg at (0.000, 0.000, 0.643).

No. 10
Computed, not measured: crystalline Ba2Sr2Hg15 at its relaxed geometry at the GGA-PBE level of DFT.

The total energy comes out at -0.907 eV per atom.

The structure belongs to space group R-3m (No. 166, hexagonal axes); the cell edges are 10.2483, 10.2483 and 18.7962 Å and the angles 90.00°, 90.00° and 120.00°. The inequivalent atoms are Ba at (0.0000, 0.0000, 0.1753), Sr at (0.0000, 0.0000, 0.4032), Hg at (0.0000, 0.2970, 0.5000), Hg at (0.0000, 0.5000, 0.0000) and Hg at (0.0263, 0.5131, 0.6275).

No. 11
Computed, not measured: crystalline BaSrHg6 at its relaxed geometry at the GGA-PBE level of DFT.

The total energy comes out at -1.098 eV per atom.

The structure belongs to space group Amm2 (No. 38); the cell edges are 5.404, 7.144 and 12.338 Å and the angles 90.00°, 90.00° and 90.00°. The inequivalent atoms are Ba at (0.000, 0.000, 0.000), Sr at (0.500, 0.000, 0.669), Hg at (0.000, 0.000, 0.493), Hg at (0.000, 0.235, 0.255), Hg at (0.500, 0.000, 0.182) and Hg at (0.500, 0.227, 0.411).

No. 12
Computed, not measured: crystalline Ba2SrHg at its relaxed geometry at the GGA-PBE level of DFT.

The total energy comes out at -1.569 eV per atom.

The structure belongs to space group I-42d (No. 122); the cell edges are 10.514, 10.514 and 7.440 Å and the angles 90.00°, 90.00° and 90.00°. The inequivalent atoms are Ba at (0.176, 0.750, 0.125), Sr at (0.000, 0.000, 0.500) and Hg at (0.000, 0.000, 0.000).

Number 1: Fermi-level density of states 1.24 states/eV per atom. Number 2: Fermi-level density of states 0.62 states/eV per atom. Number 3: Fermi-level density of states 2.66 states/eV per atom. Number 4: Fermi-level density of states 0.70 states/eV per atom. Number 5: Fermi-level density of states 1.25 states/eV per atom. Number 6: Fermi-level density of states 1.41 states/eV per atom. Number 7: Fermi-level density of states 1.36 states/eV per atom. Number 8: Fermi-level density of states 1.00 states/eV per atom. Number 9: Fermi-level density of states 1.15 states/eV per atom. Number 10: Fermi-level density of states 0.58 states/eV per atom. Number 11: Fermi-level density of states 0.57 states/eV per atom. Number 12: Fermi-level density of states 1.31 states/eV per atom.